[1]
{
  "formula": "Nd2ZrRh",
  "functional": "PBE",
  "state": "relaxed",
  "lattice_angstrom": [[1.7323, 1.0001, 10.4231], [-1.7323, 1.0001, 10.4231], [0.0000, -2.0003, 10.4231]],
  "species": ["Nd", "Nd", "Zr", "Rh"],
  "fractional_positions": [[0.1017, 0.1017, 0.1017], [0.8983, 0.8983, 0.8983], [0.0000, 0.0000, 0.0000], [0.5000, 0.5000, 0.5000]],
  "dft_energy_ev_per_atom": -6.193,
  "formation_enthalpy_0k_ev_per_atom": 0.165,
  "space_group": "R-3m"
}


[2]
{
  "formula": "NdZr4Rh5",
  "functional": "PBE",
  "state": "relaxed",
  "lattice_angstrom": [[3.3283, 0.0000, 0.0000], [0.0000, 3.3283, 0.0000], [0.0000, 0.0000, 17.0353]],
  "species": ["Nd", "Zr", "Zr", "Zr", "Zr", "Rh", "Rh", "Rh", "Rh", "Rh"],
  "fractional_positions": [[0.0000, 0.0000, 0.0000], [0.0000, 0.0000, 0.2101], [0.0000, 0.0000, 0.4044], [0.0000, 0.0000, 0.5956], [0.0000, 0.0000, 0.7899], [0.5000, 0.5000, 0.1264], [0.5000, 0.5000, 0.3104], [0.5000, 0.5000, 0.5000], [0.5000, 0.5000, 0.6896], [0.5000, 0.5000, 0.8736]],
  "dft_energy_ev_per_atom": -8.323,
  "formation_enthalpy_0k_ev_per_atom": -0.752,
  "space_group": "P4/mmm"
}


[3]
{
  "formula": "NdZr2Rh3",
  "functional": "PBE",
  "state": "relaxed",
  "lattice_angstrom": [[3.3286, 0.0000, 0.0000], [0.0000, 3.3286, 0.0000], [0.0000, 0.0000, 10.5453]],
  "species": ["Nd", "Zr", "Zr", "Rh", "Rh", "Rh"],
  "fractional_positions": [[0.0000, 0.0000, 0.0000], [0.0000, 0.0000, 0.3403], [0.0000, 0.0000, 0.6597], [0.5000, 0.5000, 0.2038], [0.5000, 0.5000, 0.5000], [0.5000, 0.5000, 0.7962]],
  "dft_energy_ev_per_atom": -8.058,
  "formation_enthalpy_0k_ev_per_atom": -0.739,
  "space_group": "P4/mmm"
}


[4]
{
  "formula": "Nd3Ru2",
  "functional": "PBE",
  "state": "relaxed",
  "lattice_angstrom": [[7.4545, -2.4592, 0.0000], [7.4545, 2.4592, 0.0000], [-0.1656, 0.0000, 10.4934]],
  "species": ["Nd", "Nd", "Nd", "Nd", "Nd", "Nd", "Nd", "Nd", "Nd", "Ru", "Ru", "Ru", "Ru", "Ru", "Ru"],
  "fractional_positions": [[0.0000, 0.0000, 0.0000], [0.0015, 0.0015, 0.3344], [0.3301, 0.3301, 0.6748], [0.3326, 0.3326, 0.0091], [0.3372, 0.3372, 0.3407], [0.6628, 0.6628, 0.6593], [0.6674, 0.6674, 0.9909], [0.6699, 0.6699, 0.3252], [0.9985, 0.9985, 0.6656], [0.1669, 0.1669, 0.4978], [0.1680, 0.1680, 0.1637], [0.5004, 0.5004, 0.1673], [0.4996, 0.4996, 0.8327], [0.8320, 0.8320, 0.8363], [0.8331, 0.8331, 0.5022]],
  "e_above_lowest_polymorph_mev_per_atom": 0.0,
  "dft_energy_ev_per_atom": -6.664,
  "formation_enthalpy_0k_ev_per_atom": -0.093,
  "space_group": "C2/m"
}


[5]
{
  "formula": "NdRu2",
  "functional": "PBE",
  "state": "relaxed",
  "lattice_angstrom": [[0.0000, 3.8368, 3.8368], [3.8368, 0.0000, 3.8368], [3.8368, 3.8368, 0.0000]],
  "species": ["Nd", "Nd", "Ru", "Ru", "Ru", "Ru"],
  "fractional_positions": [[0.1250, 0.1250, 0.1250], [0.8750, 0.8750, 0.8750], [0.0000, 0.5000, 0.5000], [0.5000, 0.0000, 0.5000], [0.5000, 0.5000, 0.0000], [0.5000, 0.5000, 0.5000]],
  "dft_energy_ev_per_atom": -7.908,
  "formation_enthalpy_0k_ev_per_atom": -0.134,
  "space_group": "Fd-3m"
}


[6]
{
  "formula": "NdRu3",
  "functional": "PBE",
  "state": "relaxed",
  "lattice_angstrom": [[5.2252, 0.0000, 0.0000], [-2.6126, 4.5251, 0.0000], [0.0000, 0.0000, 3.1558]],
  "species": ["Nd", "Ru", "Ru", "Ru"],
  "fractional_positions": [[0.0000, 0.0000, 0.0000], [0.0000, 0.5000, 0.5000], [0.5000, 0.0000, 0.5000], [0.5000, 0.5000, 0.5000]],
  "dft_energy_ev_per_atom": -7.615,
  "formation_enthalpy_0k_ev_per_atom": 0.533,
  "space_group": "P6/mmm"
}


[7]
{
  "formula": "Nd5Ru2",
  "functional": "PBE",
  "state": "relaxed",
  "lattice_angstrom": [[8.2528, -3.3051, 0.0000], [8.2528, 3.3051, 0.0000], [-0.8745, 0.0000, 7.3413]],
  "species": ["Nd", "Nd", "Nd", "Nd", "Nd", "Nd", "Nd", "Nd", "Nd", "Nd", "Ru", "Ru", "Ru", "Ru"],
  "fractional_positions": [[0.0759, 0.9241, 0.7500], [0.1398, 0.2923, 0.3129], [0.2923, 0.1398, 0.8129], [0.2979, 0.5164, 0.0874], [0.4836, 0.7021, 0.4126], [0.5164, 0.2979, 0.5874], [0.7021, 0.4836, 0.9126], [0.7077, 0.8602, 0.1871], [0.8602, 0.7077, 0.6871], [0.9241, 0.0759, 0.2500], [0.1010, 0.6758, 0.4248], [0.3242, 0.8990, 0.0752], [0.6758, 0.1010, 0.9248], [0.8990, 0.3242, 0.5752]],
  "dft_energy_ev_per_atom": -6.273,
  "formation_enthalpy_0k_ev_per_atom": -0.218,
  "space_group": "C2/c"
}


[8]
{
  "formula": "Nd3Ru2",
  "functional": "PBE",
  "state": "relaxed",
  "lattice_angstrom": [[3.5323, 2.0394, 6.3791], [-3.5323, 2.0394, 6.3791], [0.0000, -4.0787, 6.3791]],
  "species": ["Nd", "Nd", "Nd", "Nd", "Nd", "Nd", "Ru", "Ru", "Ru", "Ru"],
  "fractional_positions": [[0.0924, 0.7500, 0.4076], [0.2500, 0.5924, 0.9076], [0.4076, 0.0924, 0.7500], [0.5924, 0.9076, 0.2500], [0.7500, 0.4076, 0.0924], [0.9076, 0.2500, 0.5924], [0.1709, 0.1709, 0.1709], [0.3291, 0.3291, 0.3291], [0.6709, 0.6709, 0.6709], [0.8291, 0.8291, 0.8291]],
  "e_above_lowest_polymorph_mev_per_atom": 23.7,
  "dft_energy_ev_per_atom": -6.640,
  "formation_enthalpy_0k_ev_per_atom": -0.069,
  "space_group": "R-3c"
}


[9]
{
  "formula": "NdRu2",
  "functional": "PBE",
  "state": "relaxed",
  "lattice_angstrom": [[5.3253, 0.0000, 0.0000], [-2.6627, 4.6119, 0.0000], [0.0000, 0.0000, 9.1794]],
  "species": ["Nd", "Nd", "Nd", "Nd", "Ru", "Ru", "Ru", "Ru", "Ru", "Ru", "Ru", "Ru"],
  "fractional_positions": [[0.3333, 0.6667, 0.0668], [0.3333, 0.6667, 0.4332], [0.6667, 0.3333, 0.5668], [0.6667, 0.3333, 0.9332], [0.0000, 0.0000, 0.0000], [0.0000, 0.0000, 0.5000], [0.1687, 0.3374, 0.7500], [0.1687, 0.8313, 0.7500], [0.3374, 0.1687, 0.2500], [0.6626, 0.8313, 0.7500], [0.8313, 0.1687, 0.2500], [0.8313, 0.6626, 0.2500]],
  "dft_energy_ev_per_atom": -7.928,
  "formation_enthalpy_0k_ev_per_atom": -0.155,
  "space_group": "P6_3/mmc"
}


[10]
{
  "formula": "Nd13Ru2",
  "functional": "PBE",
  "state": "relaxed",
  "lattice_angstrom": [[6.6486, 0.0000, 0.0000], [1.1051, 8.2938, 0.0000], [0.9782, 4.0211, 9.0457]],
  "species": ["Nd", "Nd", "Nd", "Nd", "Nd", "Nd", "Nd", "Nd", "Nd", "Nd", "Nd", "Nd", "Nd", "Ru", "Ru"],
  "fractional_positions": [[0.0000, 0.0000, 0.0000], [0.0357, 0.8259, 0.6780], [0.1671, 0.6726, 0.3794], [0.2327, 0.5500, 0.0571], [0.3099, 0.3802, 0.7732], [0.4344, 0.2312, 0.4418], [0.4528, 0.0796, 0.1486], [0.5472, 0.9204, 0.8514], [0.5656, 0.7688, 0.5582], [0.6901, 0.6198, 0.2268], [0.7673, 0.4500, 0.9429], [0.8329, 0.3274, 0.6206], [0.9643, 0.1741, 0.3220], [0.1927, 0.1080, 0.7073], [0.8073, 0.8920, 0.2927]],
  "dft_energy_ev_per_atom": -5.399,
  "formation_enthalpy_0k_ev_per_atom": -0.030,
  "space_group": "P-1"
}


[11]
{
  "formula": "Nd3SbRu",
  "functional": "PBE",
  "state": "relaxed",
  "lattice_angstrom": [[6.6818, -5.6452, 0.0000], [6.6818, 5.6452, 0.0000], [0.0000, 0.0000, 7.8470]],
  "species": ["Nd", "Nd", "Nd", "Nd", "Nd", "Nd", "Nd", "Nd", "Nd", "Nd", "Nd", "Nd", "Sb", "Sb", "Sb", "Sb", "Ru", "Ru", "Ru", "Ru"],
  "fractional_positions": [[0.0295, 0.6898, 0.4033], [0.0723, 0.9277, 0.8046], [0.1898, 0.5295, 0.9033], [0.3102, 0.9705, 0.4033], [0.4277, 0.5723, 0.3046], [0.4705, 0.8102, 0.9033], [0.5295, 0.1898, 0.0967], [0.5723, 0.4277, 0.6954], [0.6898, 0.0295, 0.5967], [0.8102, 0.4705, 0.0967], [0.9277, 0.0723, 0.1954], [0.9705, 0.3102, 0.5967], [0.1673, 0.3327, 0.2500], [0.3327, 0.1673, 0.7500], [0.6673, 0.8327, 0.2500], [0.8327, 0.6673, 0.7500], [0.1982, 0.8018, 0.1206], [0.3018, 0.6982, 0.6206], [0.6982, 0.3018, 0.3794], [0.8018, 0.1982, 0.8794]],
  "e_above_lowest_polymorph_mev_per_atom": 0.0,
  "e_form_raw_mev_per_atom": -463,
  "dft_energy_ev_per_atom": -6.003,
  "space_group": "Cmce"
}


[12]
{
  "formula": "Nd12SbRu6",
  "functional": "PBE",
  "state": "relaxed",
  "lattice_angstrom": [[-5.0902, 5.0902, 5.0902], [5.0902, -5.0902, 5.0902], [5.0902, 5.0902, -5.0902]],
  "species": ["Nd", "Nd", "Nd", "Nd", "Nd", "Nd", "Nd", "Nd", "Nd", "Nd", "Nd", "Nd", "Sb", "Ru", "Ru", "Ru", "Ru", "Ru", "Ru"],
  "fractional_positions": [[0.1034, 0.8046, 0.2987], [0.1954, 0.2987, 0.4941], [0.1954, 0.7013, 0.8966], [0.2987, 0.1034, 0.8046], [0.2987, 0.4941, 0.1954], [0.4941, 0.1954, 0.2987], [0.5059, 0.8046, 0.7013], [0.7013, 0.5059, 0.8046], [0.7013, 0.8966, 0.1954], [0.8046, 0.2987, 0.1034], [0.8046, 0.7013, 0.5059], [0.8966, 0.1954, 0.7013], [0.0000, 0.0000, 0.0000], [0.1203, 0.6203, 0.5000], [0.3797, 0.5000, 0.8797], [0.5000, 0.1203, 0.6203], [0.5000, 0.8797, 0.3797], [0.6203, 0.5000, 0.1203], [0.8797, 0.3797, 0.5000]],
  "e_form_raw_mev_per_atom": -240,
  "dft_energy_ev_per_atom": -6.398,
  "space_group": "Im-3"
}


[13]
{
  "formula": "Nd5Sb2Ru",
  "functional": "PBE",
  "state": "relaxed",
  "lattice_angstrom": [[3.0073, -5.0071, 0.0000], [3.0073, 5.0071, 0.0000], [0.0000, 0.0000, 16.1263]],
  "species": ["Nd", "Nd", "Nd", "Nd", "Nd", "Nd", "Nd", "Nd", "Nd", "Nd", "Sb", "Sb", "Sb", "Sb", "Ru", "Ru"],
  "fractional_positions": [[0.0794, 0.9206, 0.6124], [0.0794, 0.9206, 0.8876], [0.2514, 0.7486, 0.2500], [0.4176, 0.5824, 0.6180], [0.4176, 0.5824, 0.8820], [0.5824, 0.4176, 0.1180], [0.5824, 0.4176, 0.3820], [0.7486, 0.2514, 0.7500], [0.9206, 0.0794, 0.1124], [0.9206, 0.0794, 0.3876], [0.2543, 0.7457, 0.0572], [0.2543, 0.7457, 0.4428], [0.7457, 0.2543, 0.5572], [0.7457, 0.2543, 0.9428], [0.2416, 0.7584, 0.7500], [0.7584, 0.2416, 0.2500]],
  "e_form_raw_mev_per_atom": -413,
  "dft_energy_ev_per_atom": -5.583,
  "space_group": "Cmcm"
}


[14]
{
  "formula": "Nd3SbRu",
  "functional": "PBE",
  "state": "relaxed",
  "lattice_angstrom": [[5.4113, 0.0000, 0.0000], [0.0000, 5.4113, 0.0000], [0.0000, 0.0000, 5.4113]],
  "species": ["Nd", "Nd", "Nd", "Sb", "Ru"],
  "fractional_positions": [[0.0000, 0.0000, 0.5000], [0.0000, 0.5000, 0.0000], [0.5000, 0.0000, 0.0000], [0.5000, 0.5000, 0.5000], [0.0000, 0.0000, 0.0000]],
  "e_above_lowest_polymorph_mev_per_atom": 135.6,
  "e_form_raw_mev_per_atom": -327,
  "dft_energy_ev_per_atom": -5.868,
  "space_group": "Pm-3m"
}


[15]
{
  "formula": "Nd4Sb2Ru",
  "functional": "PBE",
  "state": "relaxed",
  "lattice_angstrom": [[7.8911, -2.2082, 0.0000], [7.8911, 2.2082, 0.0000], [-3.5108, 0.0000, 6.6352]],
  "species": ["Nd", "Nd", "Nd", "Nd", "Sb", "Sb", "Ru"],
  "fractional_positions": [[0.1137, 0.1137, 0.2587], [0.3850, 0.3850, 0.1970], [0.6150, 0.6150, 0.8030], [0.8863, 0.8863, 0.7413], [0.2382, 0.2382, 0.7368], [0.7618, 0.7618, 0.2632], [0.5000, 0.5000, 0.0000]],
  "e_form_raw_mev_per_atom": -548,
  "dft_energy_ev_per_atom": -5.776,
  "space_group": "C2/m"
}


[16]
{
  "formula": "NdSb3Ru3",
  "functional": "PBE",
  "state": "relaxed",
  "lattice_angstrom": [[7.1445, 0.0000, 0.0000], [0.0000, 7.1445, 0.0000], [0.0000, 0.0000, 7.1445]],
  "species": ["Nd", "Nd", "Sb", "Sb", "Sb", "Sb", "Sb", "Sb", "Ru", "Ru", "Ru", "Ru", "Ru", "Ru"],
  "fractional_positions": [[0.0000, 0.0000, 0.0000], [0.5000, 0.5000, 0.5000], [0.0000, 0.2500, 0.5000], [0.0000, 0.7500, 0.5000], [0.2500, 0.5000, 0.0000], [0.5000, 0.0000, 0.2500], [0.5000, 0.0000, 0.7500], [0.7500, 0.5000, 0.0000], [0.0000, 0.5000, 0.2500], [0.0000, 0.5000, 0.7500], [0.2500, 0.0000, 0.5000], [0.5000, 0.2500, 0.0000], [0.5000, 0.7500, 0.0000], [0.7500, 0.0000, 0.5000]],
  "e_form_raw_mev_per_atom": 233,
  "dft_energy_ev_per_atom": -6.191,
  "space_group": "Pm-3n"
}


[17]
{
  "formula": "Nd2Sb4Ru3",
  "functional": "PBE",
  "state": "relaxed",
  "lattice_angstrom": [[0.0000, 5.1817, 6.6657], [2.9435, 0.0000, 6.6657], [2.9435, 5.1817, 0.0000]],
  "species": ["Nd", "Nd", "Sb", "Sb", "Sb", "Sb", "Ru", "Ru", "Ru"],
  "fractional_positions": [[0.1272, 0.1272, 0.8728], [0.8728, 0.8728, 0.1272], [0.1869, 0.5096, 0.4904], [0.4904, 0.8131, 0.1869], [0.5096, 0.1869, 0.8131], [0.8131, 0.4904, 0.5096], [0.0000, 0.0000, 0.5000], [0.5000, 0.5000, 0.0000], [0.5000, 0.5000, 0.5000]],
  "e_form_raw_mev_per_atom": -489,
  "dft_energy_ev_per_atom": -6.473,
  "space_group": "Fmmm"
}


[18]
{
  "formula": "NdSb3Ru",
  "functional": "PBE",
  "state": "relaxed",
  "lattice_angstrom": [[12.9175, 0.0000, 0.0000], [0.0000, 6.2472, 0.0000], [0.0000, 0.0000, 6.1006]],
  "species": ["Nd", "Nd", "Nd", "Nd", "Sb", "Sb", "Sb", "Sb", "Sb", "Sb", "Sb", "Sb", "Sb", "Sb", "Sb", "Sb", "Ru", "Ru", "Ru", "Ru"],
  "fractional_positions": [[0.1947, 0.0005, 0.2500], [0.1947, 0.4995, 0.7500], [0.8053, 0.9995, 0.7500], [0.8053, 0.5005, 0.2500], [0.0018, 0.2500, 0.0000], [0.0018, 0.2500, 0.5000], [0.2823, 0.5123, 0.2500], [0.2823, 0.9877, 0.7500], [0.4416, 0.5997, 0.7500], [0.4416, 0.9003, 0.2500], [0.5584, 0.0997, 0.7500], [0.5584, 0.4003, 0.2500], [0.7177, 0.0123, 0.2500], [0.7177, 0.4877, 0.7500], [0.9982, 0.7500, 0.0000], [0.9982, 0.7500, 0.5000], [0.4005, 0.2500, 0.0000], [0.4005, 0.2500, 0.5000], [0.5995, 0.7500, 0.0000], [0.5995, 0.7500, 0.5000]],
  "e_form_raw_mev_per_atom": -587,
  "dft_energy_ev_per_atom": -5.869,
  "space_group": "Pbcm"
}


[19]
{
  "formula": "Nd4SbRu",
  "functional": "PBE",
  "state": "relaxed",
  "lattice_angstrom": [[4.5681, -7.0267, 0.0000], [4.5681, 7.0267, 0.0000], [-2.9265, 0.0000, 5.6716]],
  "species": ["Nd", "Nd", "Nd", "Nd", "Nd", "Nd", "Nd", "Nd", "Sb", "Sb", "Ru", "Ru"],
  "fractional_positions": [[0.0653, 0.7069, 0.9223], [0.2106, 0.3411, 0.6732], [0.2931, 0.9347, 0.5777], [0.3411, 0.2106, 0.1732], [0.6589, 0.7894, 0.8268], [0.7069, 0.0653, 0.4223], [0.7894, 0.6589, 0.3268], [0.9347, 0.2931, 0.0777], [0.3736, 0.6264, 0.2500], [0.6264, 0.3736, 0.7500], [0.0013, 0.9987, 0.7500], [0.9987, 0.0013, 0.2500]],
  "e_form_raw_mev_per_atom": -489,
  "dft_energy_ev_per_atom": -5.900,
  "space_group": "C2/c"
}


[20]
{
  "formula": "NdSc2Ru",
  "functional": "PBE",
  "state": "relaxed",
  "lattice_angstrom": [[3.2918, 0.0000, 0.0000], [0.0000, 3.2918, 0.0000], [0.0000, 0.0000, 8.5008]],
  "species": ["Nd", "Sc", "Sc", "Ru"],
  "fractional_positions": [[0.0000, 0.0000, 0.0000], [0.5000, 0.5000, 0.3223], [0.5000, 0.5000, 0.6777], [0.0000, 0.0000, 0.5000]],
  "e_above_lowest_polymorph_mev_per_atom": 0.0,
  "dft_energy_ev_per_atom": -7.008,
  "formation_enthalpy_0k_ev_per_atom": -0.332,
  "space_group": "P4/mmm"
}


[21]
{
  "formula": "NdScRu4",
  "functional": "PBE",
  "state": "relaxed",
  "lattice_angstrom": [[0.0000, 3.7586, 3.7586], [3.7586, 0.0000, 3.7586], [3.7586, 3.7586, 0.0000]],
  "species": ["Nd", "Sc", "Ru", "Ru", "Ru", "Ru"],
  "fractional_positions": [[0.0000, 0.0000, 0.0000], [0.2500, 0.2500, 0.2500], [0.1267, 0.6244, 0.6244], [0.6244, 0.1267, 0.6244], [0.6244, 0.6244, 0.1267], [0.6244, 0.6244, 0.6244]],
  "dft_energy_ev_per_atom": -8.243,
  "formation_enthalpy_0k_ev_per_atom": -0.209,
  "space_group": "F-43m"
}


[22]
{
  "formula": "NdSc2Ru",
  "functional": "PBE",
  "state": "relaxed",
  "lattice_angstrom": [[1.6658, 0.9617, 9.7321], [-1.6658, 0.9617, 9.7321], [0.0000, -1.9234, 9.7321]],
  "species": ["Nd", "Sc", "Sc", "Ru"],
  "fractional_positions": [[0.0000, 0.0000, 0.0000], [0.2303, 0.2303, 0.2303], [0.7697, 0.7697, 0.7697], [0.5000, 0.5000, 0.5000]],
  "e_above_lowest_polymorph_mev_per_atom": 246.9,
  "dft_energy_ev_per_atom": -6.762,
  "formation_enthalpy_0k_ev_per_atom": -0.085,
  "space_group": "R-3m"
}